LiCo3O6, relaxed, DFT PBE with a Hubbard U; volume = 206.67 Å³ per cell; total magnetic moment = 1.97 μB/f.u.; distance to the lowest polymorph of the same formula = 4 meV per atom; raw total energy = -5.7121 eV per atom; mass density = 4.50 g cm⁻³
1.0
4.208 5.067 0.010
-4.208 5.067 0.010
0.000 0.763 4.847
Li Co O
2 6 12
Direct
0.747 0.747 0.787
0.253 0.253 0.213
0.000 0.000 0.000
0.500 0.500 0.500
0.832 0.168 0.500
0.333 0.667 0.000
0.667 0.333 0.000
0.168 0.832 0.500
0.597 0.597 0.132
0.097 0.097 0.631
0.403 0.403 0.868
0.903 0.903 0.369
0.238 0.568 0.364
0.741 0.063 0.860
0.762 0.432 0.636
0.259 0.937 0.140
0.432 0.762 0.636
0.937 0.259 0.140
0.568 0.238 0.364
0.063 0.741 0.860